Density functional theory data (PBE-GGA) for a relaxed structure of Pu2CdGa4Pd3.

Computed properties:
The calculation puts the total energy at -6.20 eV/atom. The calculation puts the formation energy at -455 kJ/mol of formula units. Its crystal system is tetragonal.

Cell: 4.157 4.157 11.422 Å, 90.00 90.00 90.00°
Space group P-4m2 (No. 115)
Inequivalent atoms, fractional coordinates:
Pu 0.000 0.500 0.238 x2
Cd 0.000 0.000 0.500 x1
Ga 0.000 0.000 0.000 x1
Ga 0.000 0.500 0.647 x2
Ga 0.500 0.500 0.000 x1
Pd 0.000 0.500 0.866 x2
Pd 0.500 0.500 0.500 x1